## GaReIr3 (GGA-PBE)

Data for crystalline GaReIr3 at its relaxed geometry.

Output
Its density of states at the Fermi level is 1.033 states/eV/atom. The volume comes out at 21.67 A^3/atom. The total energy comes out at -34.19 eV/f.u. The formation energy comes out at 1.57 eV per atom. The density comes out at 12.8 g/cm3.

Cell: 4.768 4.768 4.768 Å, 90.00 90.00 90.00°
Fractional positions:
Re (0.000, 0.000, 0.000)
Ir (0.000, 0.500, 0.000)
Ir (0.000, 0.000, 0.500)
Ir (0.500, 0.000, 0.000)
Ga (0.500, 0.500, 0.500)

## GaRe2Ir2 (GGA-PBE)

Data for crystalline GaRe2Ir2 at its relaxed geometry.

Output
Its density of states at the Fermi level is 0.612 states/eV/atom. The volume comes out at 16.28 A^3/atom. The total energy comes out at -44.64 eV/f.u. The formation energy comes out at 0.20 eV per atom. The density comes out at 16.9 g/cm3.

Cell: 7.710 7.710 2.739 Å, 90.00 90.00 90.00°
Fractional positions:
Re (0.376, 0.876, 0.000)
Re (0.876, 0.624, 0.000)
Re (0.624, 0.124, 0.000)
Re (0.124, 0.376, 0.000)
Ir (0.166, 0.666, 0.500)
Ir (0.666, 0.834, 0.500)
Ir (0.834, 0.334, 0.500)
Ir (0.334, 0.166, 0.500)
Ga (0.000, 0.000, 0.000)
Ga (0.500, 0.500, 0.000)

## GaReIr2 (GGA-PBE)

Data for crystalline GaReIr2 at its relaxed geometry.

Output
Its density of states at the Fermi level is 1.015 states/eV/atom. The volume comes out at 21.92 A^3/atom. The total energy comes out at -30.41 eV/f.u. The formation energy comes out at 0.70 eV per atom. The density comes out at 12.1 g/cm3.

Cell: 5.488 5.488 6.997 Å, 66.91 66.91 90.00°
Fractional positions:
Re (0.000, 0.000, 0.000)
Re (0.750, 0.250, 0.500)
Ir (0.633, 0.125, 0.250)
Ir (0.117, 0.625, 0.250)
Ir (0.375, 0.367, 0.750)
Ir (0.875, 0.883, 0.750)
Ga (0.500, 0.500, 0.000)
Ga (0.250, 0.750, 0.500)

Number 3 is which compound?
GaReIr2